No. 1
# HRhBr3, optimized geometry, DFT PBE-GGA
# Distance to the lowest polymorph of the same formula (eV/atom): 0.488
# Calculated volume (Å³ per atom): 19.93
data_HRhBr3
_chemical_formula_sum 'H1 Rh1 Br3'
_symmetry_space_group_name_H-M 'P m -3 m'
_symmetry_Int_Tables_number 221
_symmetry_space_group_name_Hall '-P 4 2 3'
_cell_length_a 4.636
_cell_length_b 4.636
_cell_length_c 4.636
_cell_angle_alpha 90.00
_cell_angle_beta 90.00
_cell_angle_gamma 90.00
loop_
_atom_site_label
_atom_site_type_symbol
_atom_site_fract_x
_atom_site_fract_y
_atom_site_fract_z
H1 H 0.000 0.000 0.000
Rh1 Rh 0.500 0.500 0.500
Br1 Br 0.000 0.000 0.500

***

No. 2
# CrAsAu4, optimized geometry, DFT PBE-GGA
# Energy of formation (meV/atom): 316
# Calculated volume (Å³ per atom): 19.61
data_CrAsAu4
_chemical_formula_sum 'Cr4 As4 Au16'
_symmetry_space_group_name_H-M 'F -4 3 m'
_symmetry_Int_Tables_number 216
_symmetry_space_group_name_Hall 'F -4 2 3'
_cell_length_a 7.778
_cell_length_b 7.778
_cell_length_c 7.778
_cell_angle_alpha 90.00
_cell_angle_beta 90.00
_cell_angle_gamma 90.00
loop_
_atom_site_label
_atom_site_type_symbol
_atom_site_fract_x
_atom_site_fract_y
_atom_site_fract_z
Cr1 Cr 0.000 0.000 0.000
As1 As 0.250 0.250 0.750
Au1 Au 0.125 0.125 0.375

***

No. 3
# TlNiSe2N, optimized geometry, DFT PBE-GGA
# Distance to the lowest polymorph of the same formula (eV/atom): 0.000
# Uncorrected formation energy (eV/atom): 0.39
# Calculated volume (Å³ per atom): 19.08
data_TlNiSe2N
_chemical_formula_sum 'Tl1 Ni1 Se2 N1'
_symmetry_space_group_name_H-M 'P 4/m m m'
_symmetry_Int_Tables_number 123
_symmetry_space_group_name_Hall '-P 4 2'
_cell_length_a 5.260
_cell_length_b 5.260
_cell_length_c 3.448
_cell_angle_alpha 90.00
_cell_angle_beta 90.00
_cell_angle_gamma 90.00
loop_
_atom_site_label
_atom_site_type_symbol
_atom_site_fract_x
_atom_site_fract_y
_atom_site_fract_z
Tl1 Tl 0.000 0.000 0.000
Ni1 Ni 0.500 0.500 0.500
Se1 Se 0.000 0.500 0.500
N1 N 0.500 0.500 0.000

***

No. 4
# CaSi2Os, optimized geometry, DFT PBE-GGA
# Uncorrected formation energy (eV/atom): -0.10
# Calculated volume (Å³ per atom): 18.14
data_CaSi2Os
_chemical_formula_sum 'Ca1 Si2 Os1'
_symmetry_space_group_name_H-M 'P 1 m 1'
_symmetry_Int_Tables_number 6
_symmetry_space_group_name_Hall 'P -2y'
_cell_length_a 3.023
_cell_length_b 3.793
_cell_length_c 6.503
_cell_angle_alpha 90.00
_cell_angle_beta 103.29
_cell_angle_gamma 90.00
loop_
_atom_site_label
_atom_site_type_symbol
_atom_site_fract_x
_atom_site_fract_y
_atom_site_fract_z
Ca1 Ca 0.000 0.000 0.000
Si1 Si 0.237 0.000 0.470
Si2 Si 0.357 0.500 0.713
Os1 Os 0.698 0.500 0.392

***

No. 5
# Ta2TlRe, optimized geometry, DFT PBE-GGA
# Energy of formation (meV/atom): 563
# Distance to the lowest polymorph of the same formula (eV/atom): 0.358
# Calculated volume (Å³ per atom): 18.20
data_Ta2TlRe
_chemical_formula_sum 'Ta8 Tl4 Re4'
_symmetry_space_group_name_H-M 'F -4 3 m'
_symmetry_Int_Tables_number 216
_symmetry_space_group_name_Hall 'F -4 2 3'
_cell_length_a 6.628
_cell_length_b 6.628
_cell_length_c 6.628
_cell_angle_alpha 90.00
_cell_angle_beta 90.00
_cell_angle_gamma 90.00
loop_
_atom_site_label
_atom_site_type_symbol
_atom_site_fract_x
_atom_site_fract_y
_atom_site_fract_z
Ta1 Ta 0.000 0.000 0.000
Ta2 Ta 0.250 0.250 0.250
Tl1 Tl 0.250 0.250 0.750
Re1 Re 0.000 0.000 0.500

***

No. 6
# BaSeIBr2, optimized geometry, DFT PBE-GGA
# Distance to the lowest polymorph of the same formula (eV/atom): 0.088
# Uncorrected formation energy (eV/atom): -0.53
# Calculated volume (Å³ per atom): 53.28
data_BaSeIBr2
_chemical_formula_sum 'Ba1 Se1 I1 Br2'
_symmetry_space_group_name_H-M 'P 4/m m m'
_symmetry_Int_Tables_number 123
_symmetry_space_group_name_Hall '-P 4 2'
_cell_length_a 6.254
_cell_length_b 6.254
_cell_length_c 6.812
_cell_angle_alpha 90.00
_cell_angle_beta 90.00
_cell_angle_gamma 90.00
loop_
_atom_site_label
_atom_site_type_symbol
_atom_site_fract_x
_atom_site_fract_y
_atom_site_fract_z
Ba1 Ba 0.000 0.000 0.000
Se1 Se 0.000 0.000 0.500
I1 I 0.500 0.500 0.500
Br1 Br 0.000 0.500 0.000

***

No. 7
# Tb3Ho2Al2, optimized geometry, DFT PBE-GGA
# Energy of formation (meV/atom): -200
# Distance to the lowest polymorph of the same formula (eV/atom): 0.015
# Calculated volume (Å³ per atom): 26.81
data_Tb3Ho2Al2
_chemical_formula_sum 'Tb9 Ho6 Al6'
_symmetry_space_group_name_H-M 'R -3 m'
_symmetry_Int_Tables_number 166
_symmetry_space_group_name_Hall '-R 3 2"'
_cell_length_a 5.2667
_cell_length_b 5.2667
_cell_length_c 23.4383
_cell_angle_alpha 90.00
_cell_angle_beta 90.00
_cell_angle_gamma 120.00
loop_
_atom_site_label
_atom_site_type_symbol
_atom_site_fract_x
_atom_site_fract_y
_atom_site_fract_z
Tb1 Tb 0.0000 0.0000 0.0000
Tb2 Tb 0.0000 0.0000 0.1535
Ho1 Ho 0.0000 0.0000 0.4183
Al1 Al 0.0000 0.0000 0.2827

***

No. 8
# BaTlP, optimized geometry, DFT PBE-GGA
# Energy of formation (meV/atom): -451
# Distance to the lowest polymorph of the same formula (eV/atom): 0.173
# Calculated volume (Å³ per atom): 36.29
data_BaTlP
_chemical_formula_sum 'Ba4 Tl4 P4'
_symmetry_space_group_name_H-M 'F -4 3 m'
_symmetry_Int_Tables_number 216
_symmetry_space_group_name_Hall 'F -4 2 3'
_cell_length_a 7.580
_cell_length_b 7.580
_cell_length_c 7.580
_cell_angle_alpha 90.00
_cell_angle_beta 90.00
_cell_angle_gamma 90.00
loop_
_atom_site_label
_atom_site_type_symbol
_atom_site_fract_x
_atom_site_fract_y
_atom_site_fract_z
Ba1 Ba 0.000 0.000 0.000
Tl1 Tl 0.000 0.000 0.500
P1 P 0.250 0.250 0.750

***

No. 9
# CaTb3Ru2, optimized geometry, DFT PBE-GGA
# Energy of formation (meV/atom): -111
# Distance to the lowest polymorph of the same formula (eV/atom): 0.137
# Calculated volume (Å³ per atom): 27.32
data_CaTb3Ru2
_chemical_formula_sum 'Ca1 Tb3 Ru2'
_symmetry_space_group_name_H-M 'P 6/m m m'
_symmetry_Int_Tables_number 191
_symmetry_space_group_name_Hall '-P 6 2'
_cell_length_a 6.9997
_cell_length_b 6.9997
_cell_length_c 3.8633
_cell_angle_alpha 90.00
_cell_angle_beta 90.00
_cell_angle_gamma 120.00
loop_
_atom_site_label
_atom_site_type_symbol
_atom_site_fract_x
_atom_site_fract_y
_atom_site_fract_z
Ca1 Ca 0.0000 0.0000 0.0000
Tb1 Tb 0.0000 0.5000 0.5000
Ru1 Ru 0.3333 0.6667 0.0000

***

No. 10
# Pr3RuAuCl, optimized geometry, DFT PBE-GGA
# Uncorrected formation energy (eV/atom): -0.68
# Calculated volume (Å³ per atom): 28.88
data_Pr3RuAuCl
_chemical_formula_sum 'Pr6 Ru2 Au2 Cl2'
_symmetry_space_group_name_H-M 'P 1 21/m 1'
_symmetry_Int_Tables_number 11
_symmetry_space_group_name_Hall '-P 2yb'
_cell_length_a 8.241
_cell_length_b 4.413
_cell_length_c 9.602
_cell_angle_alpha 90.00
_cell_angle_beta 97.05
_cell_angle_gamma 90.00
loop_
_atom_site_label
_atom_site_type_symbol
_atom_site_fract_x
_atom_site_fract_y
_atom_site_fract_z
Pr1 Pr 0.116 0.250 0.320
Pr2 Pr 0.189 0.250 0.912
Pr3 Pr 0.325 0.750 0.607
Ru1 Ru 0.086 0.250 0.619
Au1 Au 0.386 0.750 0.301
Cl1 Cl 0.401 0.750 0.906

***

No. 11
# Ba5Tl3, optimized geometry, DFT PBE-GGA
# Energy of formation (meV/atom): -329
# Distance to the lowest polymorph of the same formula (eV/atom): 0.000
# Calculated volume (Å³ per atom): 45.96
data_Ba5Tl3
_chemical_formula_sum 'Ba5 Tl3'
_symmetry_space_group_name_H-M 'P 4/m m m'
_symmetry_Int_Tables_number 123
_symmetry_space_group_name_Hall '-P 4 2'
_cell_length_a 4.362
_cell_length_b 4.362
_cell_length_c 19.320
_cell_angle_alpha 90.00
_cell_angle_beta 90.00
_cell_angle_gamma 90.00
loop_
_atom_site_label
_atom_site_type_symbol
_atom_site_fract_x
_atom_site_fract_y
_atom_site_fract_z
Ba1 Ba 0.000 0.000 0.000
Ba2 Ba 0.000 0.000 0.212
Ba3 Ba 0.500 0.500 0.397
Tl1 Tl 0.000 0.000 0.500
Tl2 Tl 0.500 0.500 0.113

***

No. 12
# TaCoP2S, optimized geometry, DFT PBE-GGA
# Distance to the lowest polymorph of the same formula (eV/atom): 0.000
# Uncorrected formation energy (eV/atom): 0.61
# Calculated volume (Å³ per atom): 15.99
data_TaCoP2S
_chemical_formula_sum 'Ta1 Co1 P2 S1'
_symmetry_space_group_name_H-M 'P 4/m m m'
_symmetry_Int_Tables_number 123
_symmetry_space_group_name_Hall '-P 4 2'
_cell_length_a 4.242
_cell_length_b 4.242
_cell_length_c 4.443
_cell_angle_alpha 90.00
_cell_angle_beta 90.00
_cell_angle_gamma 90.00
loop_
_atom_site_label
_atom_site_type_symbol
_atom_site_fract_x
_atom_site_fract_y
_atom_site_fract_z
Ta1 Ta 0.000 0.000 0.000
Co1 Co 0.500 0.500 0.500
P1 P 0.000 0.500 0.500
S1 S 0.500 0.500 0.000

***

No. 13
# SmHS2, optimized geometry, DFT PBE-GGA
# Distance to the lowest polymorph of the same formula (eV/atom): 0.053
# Calculated volume (Å³ per atom): 24.39
data_SmHS2
_chemical_formula_sum 'Sm4 H4 S8'
_symmetry_space_group_name_H-M 'C 1 c 1'
_symmetry_Int_Tables_number 9
_symmetry_space_group_name_Hall 'C -2yc'
_cell_length_a 7.945
_cell_length_b 7.817
_cell_length_c 7.362
_cell_angle_alpha 90.00
_cell_angle_beta 121.41
_cell_angle_gamma 90.00
loop_
_atom_site_label
_atom_site_type_symbol
_atom_site_fract_x
_atom_site_fract_y
_atom_site_fract_z
Sm1 Sm 0.000 0.133 0.000
H1 H 0.108 0.265 0.498
S1 S 0.221 0.140 0.486
S2 S 0.287 0.370 0.073

***

No. 14
# Hf2MgRe2, optimized geometry, DFT PBE-GGA
# Energy of formation (meV/atom): 125
# Calculated volume (Å³ per atom): 19.11
data_Hf2MgRe2
_chemical_formula_sum 'Hf4 Mg2 Re4'
_symmetry_space_group_name_H-M 'P 4/m b m'
_symmetry_Int_Tables_number 127
_symmetry_space_group_name_Hall '-P 4 2ab'
_cell_length_a 7.528
_cell_length_b 7.528
_cell_length_c 3.372
_cell_angle_alpha 90.00
_cell_angle_beta 90.00
_cell_angle_gamma 90.00
loop_
_atom_site_label
_atom_site_type_symbol
_atom_site_fract_x
_atom_site_fract_y
_atom_site_fract_z
Hf1 Hf 0.156 0.344 0.000
Mg1 Mg 0.000 0.000 0.500
Re1 Re 0.140 0.640 0.500

***

No. 15
# Ca2Pb, optimized geometry, DFT PBE-GGA
# Energy of formation (meV/atom): -365
# Calculated volume (Å³ per atom): 33.08
data_Ca2Pb
_chemical_formula_sum 'Ca2 Pb1'
_symmetry_space_group_name_H-M 'P -3 m 1'
_symmetry_Int_Tables_number 164
_symmetry_space_group_name_Hall '-P 3 2"'
_cell_length_a 5.4104
_cell_length_b 5.4104
_cell_length_c 3.9145
_cell_angle_alpha 90.00
_cell_angle_beta 90.00
_cell_angle_gamma 120.00
loop_
_atom_site_label
_atom_site_type_symbol
_atom_site_fract_x
_atom_site_fract_y
_atom_site_fract_z
Ca1 Ca 0.3333 0.6667 0.2713
Pb1 Pb 0.0000 0.0000 0.0000

***

No. 16
# Cs2NdSn2S6, optimized geometry, DFT PBE-GGA
# Uncorrected formation energy (eV/atom): -0.92
# Calculated volume (Å³ per atom): 33.97
data_Cs2NdSn2S6
_chemical_formula_sum 'Cs4 Nd2 Sn4 S12'
_symmetry_space_group_name_H-M 'C 1 2/m 1'
_symmetry_Int_Tables_number 12
_symmetry_space_group_name_Hall '-C 2y'
_cell_length_a 13.067
_cell_length_b 7.670
_cell_length_c 8.653
_cell_angle_alpha 90.00
_cell_angle_beta 120.50
_cell_angle_gamma 90.00
loop_
_atom_site_label
_atom_site_type_symbol
_atom_site_fract_x
_atom_site_fract_y
_atom_site_fract_z
Cs1 Cs 0.209 0.000 0.196
Nd1 Nd 0.000 0.000 0.500
Sn1 Sn 0.044 0.500 0.201
S1 S 0.050 0.241 0.780
S2 S 0.244 0.000 0.633

***

No. 17
# AsP2Ru, optimized geometry, DFT PBE-GGA
# Energy of formation (meV/atom): 103
# Calculated volume (Å³ per atom): 15.57
data_AsP2Ru
_chemical_formula_sum 'As3 P6 Ru3'
_symmetry_space_group_name_H-M 'R -3 m'
_symmetry_Int_Tables_number 166
_symmetry_space_group_name_Hall '-R 3 2"'
_cell_length_a 2.9743
_cell_length_b 2.9743
_cell_length_c 24.3906
_cell_angle_alpha 90.00
_cell_angle_beta 90.00
_cell_angle_gamma 120.00
loop_
_atom_site_label
_atom_site_type_symbol
_atom_site_fract_x
_atom_site_fract_y
_atom_site_fract_z
As1 As 0.0000 0.0000 0.0000
P1 P 0.0000 0.0000 0.2377
Ru1 Ru 0.0000 0.0000 0.5000

***

No. 18
# Zn4CoHg, optimized geometry, DFT PBE-GGA
# Energy of formation (meV/atom): 233
# Calculated volume (Å³ per atom): 15.07
data_Zn4CoHg
_chemical_formula_sum 'Zn16 Co4 Hg4'
_symmetry_space_group_name_H-M 'F -4 3 m'
_symmetry_Int_Tables_number 216
_symmetry_space_group_name_Hall 'F -4 2 3'
_cell_length_a 7.125
_cell_length_b 7.125
_cell_length_c 7.125
_cell_angle_alpha 90.00
_cell_angle_beta 90.00
_cell_angle_gamma 90.00
loop_
_atom_site_label
_atom_site_type_symbol
_atom_site_fract_x
_atom_site_fract_y
_atom_site_fract_z
Zn1 Zn 0.124 0.124 0.124
Co1 Co 0.250 0.250 0.750
Hg1 Hg 0.000 0.000 0.500

***

No. 19
# Tb3Sc2Cd2, optimized geometry, DFT PBE-GGA
# Energy of formation (meV/atom): -91
# Calculated volume (Å³ per atom): 26.58
data_Tb3Sc2Cd2
_chemical_formula_sum 'Tb6 Sc4 Cd4'
_symmetry_space_group_name_H-M 'C m m m'
_symmetry_Int_Tables_number 65
_symmetry_space_group_name_Hall '-C 2 2'
_cell_length_a 4.931
_cell_length_b 22.072
_cell_length_c 3.419
_cell_angle_alpha 90.00
_cell_angle_beta 90.00
_cell_angle_gamma 90.00
loop_
_atom_site_label
_atom_site_type_symbol
_atom_site_fract_x
_atom_site_fract_y
_atom_site_fract_z
Tb1 Tb 0.000 0.000 0.000
Tb2 Tb 0.000 0.152 0.000
Sc1 Sc 0.000 0.287 0.500
Cd1 Cd 0.000 0.428 0.500

***

No. 20
# CaScTl, optimized geometry, DFT PBE-GGA
# Energy of formation (meV/atom): 11
# Distance to the lowest polymorph of the same formula (eV/atom): 0.297
# Calculated volume (Å³ per atom): 30.52
data_CaScTl
_chemical_formula_sum 'Ca2 Sc2 Tl2'
_symmetry_space_group_name_H-M 'P 4/n m m'
_symmetry_Int_Tables_number 129
_cell_length_a 4.868
_cell_length_b 4.868
_cell_length_c 7.726
_cell_angle_alpha 90.00
_cell_angle_beta 90.00
_cell_angle_gamma 90.00
loop_
_symmetry_equiv_pos_as_xyz
'x,y,z'
'-x,-y,-z'
'-y+1/2,x,z'
'y+1/2,-x,-z'
'-x+1/2,-y+1/2,z'
'x+1/2,y+1/2,-z'
'y,-x+1/2,z'
'-y,x+1/2,-z'
'x+1/2,-y,-z'
'-x+1/2,y,z'
'-y,-x,-z'
'y,x,z'
'-x,y+1/2,-z'
'x,-y+1/2,z'
'y+1/2,x+1/2,-z'
'-y+1/2,-x+1/2,z'
loop_
_atom_site_label
_atom_site_type_symbol
_atom_site_fract_x
_atom_site_fract_y
_atom_site_fract_z
Ca1 Ca 0.250 0.250 0.183
Sc1 Sc 0.250 0.250 0.727
Tl1 Tl 0.250 0.750 0.500